This record from Alexandria describes an optimized crystal structure of Np2ScS4. The functional is GGA-PBE.

Calculated values
* ΔE to the lowest computed polymorph: 0 meV/atom
* ΔE_f (raw): -1476 meV per atom

Lattice parameters (Å, degrees): 7.2081 7.2081 6.9474 116.71 116.71 31.06
Last column: nearest neighbours and their distance in Å.
Atoms (fractional coordinates):
1 Np 0.2234 0.2234 0.2217  6 S 2.72-2.81
2 Np 0.7766 0.7766 0.7783  6 S 2.72-2.81
3 Sc 0.5000 0.5000 0.5000  6 S 2.60-2.66
4 S 0.1313 0.1313 0.4993  2 Sc 2.66, 3 Np 2.77-2.81
5 S 0.3805 0.3805 0.0801  1 Sc 2.60, 3 Np 2.72-2.78
6 S 0.6195 0.6195 0.9199  1 Sc 2.60, 3 Np 2.72-2.78
7 S 0.8687 0.8687 0.5007  2 Sc 2.66, 3 Np 2.77-2.81

This record from Alexandria describes an optimized crystal structure of ZnOs2Pt. The functional is GGA-PBE.

Calculated values
* ΔE_f: 0.02 eV per atom

Lattice parameters (Å, degrees): 2.7758 3.8053 5.5627 90.00 90.00 90.00
Last column: nearest neighbours and their distance in Å.
Atoms (fractional coordinates):
1 Zn 0.0000 0.0000 0.0000  4 Pt 2.66, 6 Os 2.67-2.89, 2 Zn 2.78
2 Os 0.0000 0.0000 0.4798  6 Os 2.60-2.78, 2 Zn 2.67-2.89, 4 Pt 2.88
3 Os 0.5000 0.5000 0.2805  6 Os 2.60-2.78, 2 Pt 2.77-2.79, 4 Zn 2.83
4 Pt 0.5000 0.5000 0.7787  4 Zn 2.66, 6 Os 2.77-2.88, 2 Pt 2.78

This record from Alexandria describes an optimized crystal structure of CeSm2ScSe4. The functional is GGA-PBE.

Calculated values
* ΔE_f (raw): -1742 meV per atom

Lattice parameters (Å, degrees): 7.1236 4.0864 7.1501 90.00 109.10 90.00
Last column: nearest neighbours and their distance in Å.
Atoms (fractional coordinates):
1 Ce 0.0000 0.0000 0.0000  6 Se 2.91-2.92
2 Sm 0.5000 0.0000 0.5000  6 Se 2.90
3 Sm 0.5000 0.5000 0.0000  6 Se 3.00
4 Sc 0.0000 0.5000 0.5000  6 Se 2.81-2.82
5 Se 0.2346 0.0000 0.7338  2 Sc 2.82, 3 Sm 2.90-3.00, 1 Ce 2.91
6 Se 0.2434 0.5000 0.2593  1 Sc 2.81, 3 Sm 2.90-3.00, 2 Ce 2.92
7 Se 0.7566 0.5000 0.7407  1 Sc 2.81, 3 Sm 2.90-3.00, 2 Ce 2.92
8 Se 0.7654 0.0000 0.2662  2 Sc 2.82, 3 Sm 2.90-3.00, 1 Ce 2.91

This record from Alexandria describes an optimized crystal structure of Mg4C. The functional is GGA-PBE.

Calculated values
* ΔE to the lowest computed polymorph: 237 meV/atom
* ΔE_f: 0.50 eV per atom

Lattice parameters (Å, degrees): 5.7511 5.7511 5.7511 93.64 93.64 150.83
Last column: nearest neighbours and their distance in Å.
Atoms (fractional coordinates):
1 Mg 0.0548 0.7558 0.8106  2 C 2.45
2 Mg 0.2442 0.0548 0.2991  2 C 2.45
3 Mg 0.7558 0.9452 0.7009  2 C 2.45
4 Mg 0.9452 0.2442 0.1894  2 C 2.45
5 C 0.5000 0.5000 0.0000  8 Mg 2.45

This record from Alexandria describes an optimized crystal structure of SrTiGa2Bi. The functional is GGA-PBE.

Calculated values
* ΔE_f: 0.37 eV per atom

Lattice parameters (Å, degrees): 5.0833 5.0833 5.8388 90.00 90.00 90.00
Last column: nearest neighbours and their distance in Å.
Atoms (fractional coordinates):
1 Sr 0.0000 0.0000 0.0000  2 Ti 2.92
2 Ti 0.0000 0.0000 0.5000  4 Ga 2.54
3 Ga 0.0000 0.5000 0.5000  2 Ti 2.54
4 Ga 0.5000 0.0000 0.5000  2 Ti 2.54
5 Bi 0.5000 0.5000 0.0000  4 Sr 3.59, 8 Ga 3.87

This record from Alexandria describes an optimized crystal structure of LiSmTlAg. The functional is GGA-PBE.

Calculated values
* ΔE to the lowest computed polymorph: 14 meV/atom
* ΔE_f: -0.28 eV per atom

Lattice parameters (Å, degrees): 5.0915 5.0915 5.0915 60.00 60.00 60.00
Last column: nearest neighbours and their distance in Å.
Atoms (fractional coordinates):
1 Li 0.0000 0.0000 0.0000  4 Tl 3.12, 4 Ag 3.12
2 Sm 0.5000 0.5000 0.5000  4 Tl 3.12, 4 Ag 3.12
3 Tl 0.7500 0.7500 0.7500  4 Sm 3.12, 4 Li 3.12
4 Ag 0.2500 0.2500 0.2500  4 Li 3.12, 4 Sm 3.12

This record from Alexandria describes an optimized crystal structure of ScBe2Te. The functional is GGA-PBE.

Calculated values
* ΔE_f (raw): 34 meV per atom

Lattice parameters (Å, degrees): 3.6475 3.7527 5.2230 90.00 90.00 90.00
Last column: nearest neighbours and their distance in Å.
Atoms (fractional coordinates):
1 Sc 0.0000 0.0000 0.0000  8 Be 2.80
2 Be 0.5000 0.5000 0.1918  1 Be 2.00
3 Be 0.5000 0.5000 0.8082  1 Be 2.00
4 Te 0.5000 0.0000 0.5000  4 Be 2.47

This record from Alexandria describes an optimized crystal structure of Ga2Cu2Pb. The functional is GGA-PBE.

Calculated values
* ΔE to the lowest computed polymorph: 29 meV/atom
* ΔE_f: 0.07 eV per atom

Lattice parameters (Å, degrees): 5.9645 5.9645 5.9645 137.99 137.99 60.92
Last column: nearest neighbours and their distance in Å.
Atoms (fractional coordinates):
1 Ga 0.1269 0.1269 0.0000  4 Cu 2.48, 1 Ga 2.61
2 Ga 0.8731 0.8731 0.0000  4 Cu 2.48, 1 Ga 2.61
3 Cu 0.2500 0.7500 0.5000  4 Ga 2.48
4 Cu 0.7500 0.2500 0.5000  4 Ga 2.48
5 Pb 0.5000 0.5000 0.0000  8 Ga 3.29, 8 Cu 3.34

This record from Alexandria describes an optimized crystal structure of HfInBr2. The functional is GGA-PBE.

Calculated values
* ΔE to the lowest computed polymorph: 0 meV/atom
* ΔE_f (raw): -631 meV per atom

Lattice parameters (Å, degrees): 10.9173 10.9173 10.9173 17.97 17.97 17.97
Last column: nearest neighbours and their distance in Å.
Atoms (fractional coordinates):
1 Hf 0.0000 0.0000 0.0000  6 Br 2.76
2 In 0.5000 0.5000 0.5000  6 In 3.41, 2 Br 3.43
3 Br 0.3936 0.3936 0.3936  3 Hf 2.76
4 Br 0.6064 0.6064 0.6064  3 Hf 2.76

This record from Alexandria describes an optimized crystal structure of Bi6Br7. The functional is GGA-PBE.

Calculated values
* ΔE_f (raw): -478 meV per atom

Lattice parameters (Å, degrees): 16.0738 24.5678 9.1669 90.00 90.00 90.00
Last column: nearest neighbours and their distance in Å.
Atoms (fractional coordinates):
1 Bi 0.0456 0.0874 0.0000  6 Br 2.77-3.07
2 Bi 0.0730 0.8987 0.5000  4 Bi 3.13-3.17
3 Bi 0.0974 0.6035 0.5000  6 Br 2.76-3.00
4 Bi 0.1173 0.4375 0.0000  4 Bi 3.14-3.20
5 Bi 0.1551 0.3553 0.2540  4 Bi 3.14-3.22, 1 Br 3.36
6 Bi 0.1551 0.3553 0.7460  4 Bi 3.14-3.22, 1 Br 3.36
7 Bi 0.1673 0.8081 0.3180  4 Bi 3.15-3.34, 1 Br 3.44
8 Bi 0.1673 0.8081 0.6820  4 Bi 3.15-3.34, 1 Br 3.44
9 Bi 0.1737 0.2700 0.0000  4 Bi 3.15-3.19, 1 Br 3.41
10 Bi 0.1754 0.6455 0.0000  5 Br 2.75-3.07
11 Bi 0.2152 0.9518 0.3158  4 Bi 3.13-3.38, 1 Br 3.23
12 Bi 0.2152 0.9518 0.6842  4 Bi 3.13-3.38, 1 Br 3.23
13 Bi 0.2848 0.4518 0.1842  4 Bi 3.13-3.38, 1 Br 3.23
14 Bi 0.2848 0.4518 0.8158  4 Bi 3.13-3.38, 1 Br 3.23
15 Bi 0.3246 0.1455 0.5000  5 Br 2.75-3.07
16 Bi 0.3263 0.7700 0.5000  4 Bi 3.15-3.19, 1 Br 3.41
17 Bi 0.3327 0.3081 0.1820  4 Bi 3.15-3.34, 1 Br 3.44
18 Bi 0.3327 0.3081 0.8180  4 Bi 3.15-3.34, 1 Br 3.44
19 Bi 0.3449 0.8553 0.2460  4 Bi 3.14-3.22, 1 Br 3.36
20 Bi 0.3449 0.8553 0.7540  4 Bi 3.14-3.22, 1 Br 3.36
21 Bi 0.3827 0.9375 0.5000  4 Bi 3.14-3.20
22 Bi 0.4026 0.1035 0.0000  6 Br 2.76-3.00
23 Bi 0.4270 0.3987 0.0000  4 Bi 3.13-3.17
24 Bi 0.4544 0.5874 0.5000  6 Br 2.77-3.07
25 Bi 0.5456 0.4126 0.5000  6 Br 2.77-3.07
26 Bi 0.5730 0.6013 0.0000  4 Bi 3.13-3.17
27 Bi 0.5974 0.8965 0.0000  6 Br 2.76-3.00
28 Bi 0.6173 0.0625 0.5000  4 Bi 3.14-3.20
29 Bi 0.6551 0.1447 0.2460  4 Bi 3.14-3.22, 1 Br 3.36
30 Bi 0.6551 0.1447 0.7540  4 Bi 3.14-3.22, 1 Br 3.36
31 Bi 0.6673 0.6919 0.1820  4 Bi 3.15-3.34, 1 Br 3.44
32 Bi 0.6673 0.6919 0.8180  4 Bi 3.15-3.34, 1 Br 3.44
33 Bi 0.6737 0.2300 0.5000  4 Bi 3.15-3.19, 1 Br 3.41
34 Bi 0.6754 0.8545 0.5000  5 Br 2.75-3.07
35 Bi 0.7152 0.5482 0.1842  4 Bi 3.13-3.38, 1 Br 3.23
36 Bi 0.7152 0.5482 0.8158  4 Bi 3.13-3.38, 1 Br 3.23
37 Bi 0.7848 0.0482 0.3158  4 Bi 3.13-3.38, 1 Br 3.23
38 Bi 0.7848 0.0482 0.6842  4 Bi 3.13-3.38, 1 Br 3.23
39 Bi 0.8246 0.3545 0.0000  5 Br 2.75-3.07
40 Bi 0.8263 0.7300 0.0000  4 Bi 3.15-3.19, 1 Br 3.41
41 Bi 0.8327 0.1919 0.3180  4 Bi 3.15-3.34, 1 Br 3.44
42 Bi 0.8327 0.1919 0.6820  4 Bi 3.15-3.34, 1 Br 3.44
43 Bi 0.8449 0.6447 0.2540  4 Bi 3.14-3.22, 1 Br 3.36
44 Bi 0.8449 0.6447 0.7460  4 Bi 3.14-3.22, 1 Br 3.36
45 Bi 0.8827 0.5625 0.0000  4 Bi 3.14-3.20
46 Bi 0.9026 0.3965 0.5000  6 Br 2.76-3.00
47 Bi 0.9270 0.1013 0.5000  4 Bi 3.13-3.17
48 Bi 0.9544 0.9126 0.0000  6 Br 2.77-3.07
49 Br 0.0000 0.0000 0.2255  2 Bi 3.07
50 Br 0.0000 0.0000 0.7745  2 Bi 3.07
51 Br 0.0051 0.6983 0.5000  1 Bi 2.76
52 Br 0.0367 0.7110 0.0000  1 Bi 2.75
53 Br 0.0547 0.1632 0.2236  1 Bi 2.77
54 Br 0.0547 0.1632 0.7764  1 Bi 2.77
55 Br 0.0758 0.4423 0.5000  3 Bi 3.00-3.36
56 Br 0.0794 0.5628 0.1938  2 Bi 2.99-3.11
57 Br 0.0794 0.5628 0.8062  2 Bi 2.99-3.11
58 Br 0.1308 0.8928 0.0000  1 Bi 2.88
59 Br 0.1825 0.0621 0.5000  3 Bi 3.07-3.23
60 Br 0.2086 0.6709 0.3086  2 Bi 2.95-3.00
61 Br 0.2086 0.6709 0.6914  2 Bi 2.95-3.00
62 Br 0.2194 0.0409 0.0000  2 Bi 3.02-3.32
63 Br 0.2309 0.2486 0.5000  1 Bi 2.94
64 Br 0.2691 0.7486 0.0000  1 Bi 2.94
65 Br 0.2806 0.5409 0.5000  2 Bi 3.02-3.32
66 Br 0.2914 0.1709 0.1914  2 Bi 2.95-3.00
67 Br 0.2914 0.1709 0.8086  2 Bi 2.95-3.00
68 Br 0.3175 0.5621 0.0000  3 Bi 3.07-3.23
69 Br 0.3692 0.3928 0.5000  1 Bi 2.88
70 Br 0.4206 0.0628 0.3062  2 Bi 2.99-3.11
71 Br 0.4206 0.0628 0.6938  2 Bi 2.99-3.11
72 Br 0.4242 0.9423 0.0000  3 Bi 3.00-3.36
73 Br 0.4453 0.6632 0.2764  1 Bi 2.77
74 Br 0.4453 0.6632 0.7236  1 Bi 2.77
75 Br 0.4633 0.2110 0.5000  1 Bi 2.75
76 Br 0.4949 0.1983 0.0000  1 Bi 2.76
77 Br 0.5000 0.5000 0.2745  2 Bi 3.07
78 Br 0.5000 0.5000 0.7255  2 Bi 3.07
79 Br 0.5051 0.8017 0.0000  1 Bi 2.76
80 Br 0.5367 0.7890 0.5000  1 Bi 2.75
81 Br 0.5547 0.3368 0.2764  1 Bi 2.77
82 Br 0.5547 0.3368 0.7236  1 Bi 2.77
83 Br 0.5758 0.0577 0.0000  3 Bi 3.00-3.36
84 Br 0.5794 0.9372 0.3062  2 Bi 2.99-3.11
85 Br 0.5794 0.9372 0.6938  2 Bi 2.99-3.11
86 Br 0.6308 0.6072 0.5000  1 Bi 2.88
87 Br 0.6825 0.4379 0.0000  3 Bi 3.07-3.23
88 Br 0.7086 0.8291 0.1914  2 Bi 2.95-3.00
89 Br 0.7086 0.8291 0.8086  2 Bi 2.95-3.00
90 Br 0.7194 0.4591 0.5000  2 Bi 3.02-3.32
91 Br 0.7309 0.2514 0.0000  1 Bi 2.94
92 Br 0.7691 0.7514 0.5000  1 Bi 2.94
93 Br 0.7806 0.9591 0.0000  2 Bi 3.02-3.32
94 Br 0.7914 0.3291 0.3086  2 Bi 2.95-3.00
95 Br 0.7914 0.3291 0.6914  2 Bi 2.95-3.00
96 Br 0.8175 0.9379 0.5000  3 Bi 3.07-3.23
97 Br 0.8692 0.1072 0.0000  1 Bi 2.88
98 Br 0.9206 0.4372 0.1938  2 Bi 2.99-3.11
99 Br 0.9206 0.4372 0.8062  2 Bi 2.99-3.11
100 Br 0.9242 0.5577 0.5000  3 Bi 3.00-3.36
101 Br 0.9453 0.8368 0.2236  1 Bi 2.77
102 Br 0.9453 0.8368 0.7764  1 Bi 2.77
103 Br 0.9633 0.2890 0.0000  1 Bi 2.75
104 Br 0.9949 0.3017 0.5000  1 Bi 2.76